No. 1
# NbIrS3, optimized geometry, DFT GGA-PBE
# raw formation energy = 65.6 kJ/mol of atoms
data_NbIrS3
_symmetry_space_group_name_H-M 'P m -3 m'
_symmetry_Int_Tables_number 221
_symmetry_space_group_name_Hall '-P 4 2 3'
_cell_length_a 4.563
_cell_length_b 4.563
_cell_length_c 4.563
_cell_angle_alpha 90.00
_cell_angle_beta 90.00
_cell_angle_gamma 90.00
loop_
_atom_site_label
_atom_site_fract_x
_atom_site_fract_y
_atom_site_fract_z
Nb1 0.000 0.000 0.000
Ir1 0.500 0.500 0.500
S1 0.000 0.500 0.500

***

No. 2
# Nb2IrS, optimized geometry, DFT GGA-PBE
# raw formation energy = -15.1 kJ/mol of atoms
data_Nb2IrS
_symmetry_space_group_name_H-M 'I -4 2 d'
_symmetry_Int_Tables_number 122
_symmetry_space_group_name_Hall 'I -4 2bw'
_cell_length_a 6.826
_cell_length_b 6.826
_cell_length_c 5.893
_cell_angle_alpha 90.00
_cell_angle_beta 90.00
_cell_angle_gamma 90.00
loop_
_atom_site_label
_atom_site_fract_x
_atom_site_fract_y
_atom_site_fract_z
Nb1 0.226 0.750 0.125
Ir1 0.000 0.000 0.500
S1 0.000 0.000 0.000

***

No. 3
# SrNb2IrS, optimized geometry, DFT GGA-PBE
# raw formation energy = 18.5 kJ/mol of atoms
data_SrNb2IrS
_symmetry_space_group_name_H-M 'P 4/m m m'
_symmetry_Int_Tables_number 123
_symmetry_space_group_name_Hall '-P 4 2'
_cell_length_a 4.692
_cell_length_b 4.692
_cell_length_c 4.686
_cell_angle_alpha 90.00
_cell_angle_beta 90.00
_cell_angle_gamma 90.00
loop_
_atom_site_label
_atom_site_fract_x
_atom_site_fract_y
_atom_site_fract_z
Sr1 0.000 0.000 0.000
Nb1 0.000 0.500 0.500
Ir1 0.500 0.500 0.000
S1 0.500 0.500 0.500

***

No. 4
# Nb2Sb2Ir, optimized geometry, DFT GGA-PBE
# raw formation energy = 19.6 kJ/mol of atoms
data_Nb2Sb2Ir
_symmetry_space_group_name_H-M 'P 4/m b m'
_symmetry_Int_Tables_number 127
_symmetry_space_group_name_Hall '-P 4 2ab'
_cell_length_a 7.264
_cell_length_b 7.264
_cell_length_c 3.747
_cell_angle_alpha 90.00
_cell_angle_beta 90.00
_cell_angle_gamma 90.00
loop_
_atom_site_label
_atom_site_fract_x
_atom_site_fract_y
_atom_site_fract_z
Nb1 0.140 0.360 0.000
Sb1 0.159 0.659 0.500
Ir1 0.000 0.000 0.500

***

No. 5
# Nb2Sb2Ir, optimized geometry, DFT GGA-PBE
# raw formation energy = 68.9 kJ/mol of atoms
data_Nb2Sb2Ir
_symmetry_space_group_name_H-M 'I 4/m m m'
_symmetry_Int_Tables_number 139
_symmetry_space_group_name_Hall '-I 4 2'
_cell_length_a 3.616
_cell_length_b 3.616
_cell_length_c 16.399
_cell_angle_alpha 90.00
_cell_angle_beta 90.00
_cell_angle_gamma 90.00
loop_
_atom_site_label
_atom_site_fract_x
_atom_site_fract_y
_atom_site_fract_z
Nb1 0.000 0.500 0.250
Sb1 0.000 0.000 0.097
Ir1 0.000 0.000 0.500

***

No. 6
# NbSbIr3, optimized geometry, DFT GGA-PBE
# raw formation energy = 127.4 kJ/mol of atoms
data_NbSbIr3
_symmetry_space_group_name_H-M 'P m -3 m'
_symmetry_Int_Tables_number 221
_symmetry_space_group_name_Hall '-P 4 2 3'
_cell_length_a 4.810
_cell_length_b 4.810
_cell_length_c 4.810
_cell_angle_alpha 90.00
_cell_angle_beta 90.00
_cell_angle_gamma 90.00
loop_
_atom_site_label
_atom_site_fract_x
_atom_site_fract_y
_atom_site_fract_z
Nb1 0.000 0.000 0.000
Sb1 0.500 0.500 0.500
Ir1 0.000 0.000 0.500

***

No. 7
# Nb2SbIr2, optimized geometry, DFT GGA-PBE
# raw formation energy = -27.8 kJ/mol of atoms
data_Nb2SbIr2
_symmetry_space_group_name_H-M 'P 4/m b m'
_symmetry_Int_Tables_number 127
_symmetry_space_group_name_Hall '-P 4 2ab'
_cell_length_a 7.875
_cell_length_b 7.875
_cell_length_c 2.935
_cell_angle_alpha 90.00
_cell_angle_beta 90.00
_cell_angle_gamma 90.00
loop_
_atom_site_label
_atom_site_fract_x
_atom_site_fract_y
_atom_site_fract_z
Nb1 0.156 0.344 0.000
Sb1 0.000 0.000 0.500
Ir1 0.134 0.634 0.500

***

No. 8
# Nb2SbIr, optimized geometry, DFT GGA-PBE
# raw formation energy = 9.0 kJ/mol of atoms
data_Nb2SbIr
_symmetry_space_group_name_H-M 'I -4 2 d'
_symmetry_Int_Tables_number 122
_symmetry_space_group_name_Hall 'I -4 2bw'
_cell_length_a 7.464
_cell_length_b 7.464
_cell_length_c 5.684
_cell_angle_alpha 90.00
_cell_angle_beta 90.00
_cell_angle_gamma 90.00
loop_
_atom_site_label
_atom_site_fract_x
_atom_site_fract_y
_atom_site_fract_z
Nb1 0.220 0.250 0.125
Sb1 0.000 0.000 0.500
Ir1 0.000 0.000 0.000

***

No. 9
# NbSbIr2, optimized geometry, DFT GGA-PBE
# raw formation energy = 32.5 kJ/mol of atoms
data_NbSbIr2
_symmetry_space_group_name_H-M 'I -4 2 d'
_symmetry_Int_Tables_number 122
_symmetry_space_group_name_Hall 'I -4 2bw'
_cell_length_a 5.870
_cell_length_b 5.870
_cell_length_c 11.607
_cell_angle_alpha 90.00
_cell_angle_beta 90.00
_cell_angle_gamma 90.00
loop_
_atom_site_label
_atom_site_fract_x
_atom_site_fract_y
_atom_site_fract_z
Nb1 0.000 0.000 0.000
Sb1 0.000 0.000 0.500
Ir1 0.241 0.250 0.125

***

No. 10
# NbSbIr3, optimized geometry, DFT GGA-PBE
# raw formation energy = 164.1 kJ/mol of atoms
data_NbSbIr3
_symmetry_space_group_name_H-M 'P m -3 m'
_symmetry_Int_Tables_number 221
_symmetry_space_group_name_Hall '-P 4 2 3'
_cell_length_a 4.772
_cell_length_b 4.772
_cell_length_c 4.772
_cell_angle_alpha 90.00
_cell_angle_beta 90.00
_cell_angle_gamma 90.00
loop_
_atom_site_label
_atom_site_fract_x
_atom_site_fract_y
_atom_site_fract_z
Nb1 0.000 0.000 0.000
Sb1 0.500 0.500 0.500
Ir1 0.000 0.500 0.500

***

No. 11
# NbSbTe2Ir, optimized geometry, DFT GGA-PBE
# raw formation energy = 84.2 kJ/mol of atoms
data_NbSbTe2Ir
_symmetry_space_group_name_H-M 'P 4/m m m'
_symmetry_Int_Tables_number 123
_symmetry_space_group_name_Hall '-P 4 2'
_cell_length_a 5.350
_cell_length_b 5.350
_cell_length_c 4.923
_cell_angle_alpha 90.00
_cell_angle_beta 90.00
_cell_angle_gamma 90.00
loop_
_atom_site_label
_atom_site_fract_x
_atom_site_fract_y
_atom_site_fract_z
Nb1 0.000 0.000 0.000
Sb1 0.500 0.500 0.000
Te1 0.000 0.500 0.500
Ir1 0.500 0.500 0.500

***

No. 12
# NbSbTe2Ir, optimized geometry, DFT GGA-PBE
# raw formation energy = 110.7 kJ/mol of atoms
data_NbSbTe2Ir
_symmetry_space_group_name_H-M 'P 4/m m m'
_symmetry_Int_Tables_number 123
_symmetry_space_group_name_Hall '-P 4 2'
_cell_length_a 5.243
_cell_length_b 5.243
_cell_length_c 5.307
_cell_angle_alpha 90.00
_cell_angle_beta 90.00
_cell_angle_gamma 90.00
loop_
_atom_site_label
_atom_site_fract_x
_atom_site_fract_y
_atom_site_fract_z
Nb1 0.000 0.000 0.000
Sb1 0.000 0.000 0.500
Te1 0.000 0.500 0.000
Ir1 0.500 0.500 0.500

***

No. 13
# TiNbSbIr2, optimized geometry, DFT GGA-PBE
# raw formation energy = 102.4 kJ/mol of atoms
data_TiNbSbIr2
_symmetry_space_group_name_H-M 'P 4/m m m'
_symmetry_Int_Tables_number 123
_symmetry_space_group_name_Hall '-P 4 2'
_cell_length_a 4.827
_cell_length_b 4.827
_cell_length_c 4.757
_cell_angle_alpha 90.00
_cell_angle_beta 90.00
_cell_angle_gamma 90.00
loop_
_atom_site_label
_atom_site_fract_x
_atom_site_fract_y
_atom_site_fract_z
Ti1 0.000 0.000 0.000
Nb1 0.000 0.000 0.500
Sb1 0.500 0.500 0.000
Ir1 0.000 0.500 0.500

***

No. 14
# NbTlSbIr2, optimized geometry, DFT GGA-PBE
# raw formation energy = 131.3 kJ/mol of atoms
data_NbTlSbIr2
_symmetry_space_group_name_H-M 'P 4/m m m'
_symmetry_Int_Tables_number 123
_symmetry_space_group_name_Hall '-P 4 2'
_cell_length_a 4.861
_cell_length_b 4.861
_cell_length_c 5.160
_cell_angle_alpha 90.00
_cell_angle_beta 90.00
_cell_angle_gamma 90.00
loop_
_atom_site_label
_atom_site_fract_x
_atom_site_fract_y
_atom_site_fract_z
Nb1 0.000 0.000 0.000
Tl1 0.500 0.500 0.000
Sb1 0.000 0.000 0.500
Ir1 0.000 0.500 0.500

***

No. 15
# Sc2NbIr2, optimized geometry, DFT GGA-PBE
# energy = -8.71 eV/atom
data_Sc2NbIr2
_symmetry_space_group_name_H-M 'P 4/m b m'
_symmetry_Int_Tables_number 127
_symmetry_space_group_name_Hall '-P 4 2ab'
_cell_length_a 6.719
_cell_length_b 6.719
_cell_length_c 4.213
_cell_angle_alpha 90.00
_cell_angle_beta 90.00
_cell_angle_gamma 90.00
loop_
_atom_site_label
_atom_site_fract_x
_atom_site_fract_y
_atom_site_fract_z
Sc1 0.173 0.327 0.000
Nb1 0.000 0.000 0.500
Ir1 0.139 0.639 0.500

***

No. 16
# ScNb3Ir, optimized geometry, DFT GGA-PBE
# energy = -7.37 eV/atom
data_ScNb3Ir
_symmetry_space_group_name_H-M 'P m -3 m'
_symmetry_Int_Tables_number 221
_symmetry_space_group_name_Hall '-P 4 2 3'
_cell_length_a 4.633
_cell_length_b 4.633
_cell_length_c 4.633
_cell_angle_alpha 90.00
_cell_angle_beta 90.00
_cell_angle_gamma 90.00
loop_
_atom_site_label
_atom_site_fract_x
_atom_site_fract_y
_atom_site_fract_z
Sc1 0.000 0.000 0.000
Nb1 0.000 0.000 0.500
Ir1 0.500 0.500 0.500

***

No. 17
# Sc5NbIr6, optimized geometry, DFT GGA-PBE
# energy = -8.81 eV/atom
data_Sc5NbIr6
_symmetry_space_group_name_H-M 'I m m m'
_symmetry_Int_Tables_number 71
_symmetry_space_group_name_Hall '-I 2 2'
_cell_length_a 4.463
_cell_length_b 6.771
_cell_length_c 13.375
_cell_angle_alpha 90.00
_cell_angle_beta 90.00
_cell_angle_gamma 90.00
loop_
_atom_site_label
_atom_site_fract_x
_atom_site_fract_y
_atom_site_fract_z
Sc1 0.000 0.000 0.000
Sc2 0.000 0.000 0.330
Sc3 0.000 0.500 0.335
Nb1 0.000 0.500 0.000
Ir1 0.000 0.239 0.500
Ir2 0.000 0.255 0.164

***

No. 18
# ScNb2Ir, optimized geometry, DFT GGA-PBE
# energy = -8.76 eV/atom
data_ScNb2Ir
_symmetry_space_group_name_H-M 'I -4 2 d'
_symmetry_Int_Tables_number 122
_symmetry_space_group_name_Hall 'I -4 2bw'
_cell_length_a 7.672
_cell_length_b 7.672
_cell_length_c 5.390
_cell_angle_alpha 90.00
_cell_angle_beta 90.00
_cell_angle_gamma 90.00
loop_
_atom_site_label
_atom_site_fract_x
_atom_site_fract_y
_atom_site_fract_z
Sc1 0.000 0.000 0.000
Nb1 0.207 0.250 0.625
Ir1 0.000 0.000 0.500

***

No. 19
# ScNb3Ir, optimized geometry, DFT GGA-PBE
# energy = -8.37 eV/atom
data_ScNb3Ir
_symmetry_space_group_name_H-M 'P m -3 m'
_symmetry_Int_Tables_number 221
_symmetry_space_group_name_Hall '-P 4 2 3'
_cell_length_a 4.896
_cell_length_b 4.896
_cell_length_c 4.896
_cell_angle_alpha 90.00
_cell_angle_beta 90.00
_cell_angle_gamma 90.00
loop_
_atom_site_label
_atom_site_fract_x
_atom_site_fract_y
_atom_site_fract_z
Sc1 0.000 0.000 0.000
Nb1 0.000 0.500 0.500
Ir1 0.500 0.500 0.500

***

No. 20
# ScNbIr3, optimized geometry, DFT GGA-PBE
# energy = -7.80 eV/atom
data_ScNbIr3
_symmetry_space_group_name_H-M 'P m -3 m'
_symmetry_Int_Tables_number 221
_symmetry_space_group_name_Hall '-P 4 2 3'
_cell_length_a 4.761
_cell_length_b 4.761
_cell_length_c 4.761
_cell_angle_alpha 90.00
_cell_angle_beta 90.00
_cell_angle_gamma 90.00
loop_
_atom_site_label
_atom_site_fract_x
_atom_site_fract_y
_atom_site_fract_z
Sc1 0.000 0.000 0.000
Nb1 0.500 0.500 0.500
Ir1 0.000 0.500 0.500

***

No. 21
# ScNb2Ir, optimized geometry, DFT GGA-PBE
# energy = -9.01 eV/atom
data_ScNb2Ir
_symmetry_space_group_name_H-M 'F m -3 m'
_symmetry_Int_Tables_number 225
_symmetry_space_group_name_Hall '-F 4 2 3'
_cell_length_a 6.510
_cell_length_b 6.510
_cell_length_c 6.510
_cell_angle_alpha 90.00
_cell_angle_beta 90.00
_cell_angle_gamma 90.00
loop_
_atom_site_label
_atom_site_fract_x
_atom_site_fract_y
_atom_site_fract_z
Sc1 0.000 0.000 0.000
Nb1 0.250 0.250 0.250
Ir1 0.000 0.000 0.500

***

No. 22
# ScNbVIr, optimized geometry, DFT GGA-PBE
# energy = -8.93 eV/atom
data_ScNbVIr
_symmetry_space_group_name_H-M 'F -4 3 m'
_symmetry_Int_Tables_number 216
_symmetry_space_group_name_Hall 'F -4 2 3'
_cell_length_a 6.437
_cell_length_b 6.437
_cell_length_c 6.437
_cell_angle_alpha 90.00
_cell_angle_beta 90.00
_cell_angle_gamma 90.00
loop_
_atom_site_label
_atom_site_fract_x
_atom_site_fract_y
_atom_site_fract_z
Sc1 0.000 0.000 0.000
Nb1 0.000 0.000 0.500
V1 0.250 0.250 0.250
Ir1 0.250 0.250 0.750

***

No. 23
# Nb3IrSe8, optimized geometry, DFT GGA-PBE
# raw formation energy = -69.2 kJ/mol of atoms
data_Nb3IrSe8
_symmetry_space_group_name_H-M 'C 1 2/c 1'
_symmetry_Int_Tables_number 15
_symmetry_space_group_name_Hall '-C 2yc'
_cell_length_a 11.986
_cell_length_b 6.973
_cell_length_c 14.866
_cell_angle_alpha 90.00
_cell_angle_beta 113.60
_cell_angle_gamma 90.00
loop_
_atom_site_label
_atom_site_fract_x
_atom_site_fract_y
_atom_site_fract_z
Nb1 0.000 0.103 0.250
Nb2 0.232 0.143 0.748
Ir1 0.000 0.328 0.750
Se1 0.016 0.116 0.615
Se2 0.027 0.397 0.147
Se3 0.219 0.387 0.870
Se4 0.230 0.111 0.374

***

No. 24
# NbIr2Se2, optimized geometry, DFT GGA-PBE
# raw formation energy = 24.9 kJ/mol of atoms
data_NbIr2Se2
_symmetry_space_group_name_H-M 'P 4/m b m'
_symmetry_Int_Tables_number 127
_symmetry_space_group_name_Hall '-P 4 2ab'
_cell_length_a 7.268
_cell_length_b 7.268
_cell_length_c 3.124
_cell_angle_alpha 90.00
_cell_angle_beta 90.00
_cell_angle_gamma 90.00
loop_
_atom_site_label
_atom_site_fract_x
_atom_site_fract_y
_atom_site_fract_z
Nb1 0.000 0.000 0.000
Ir1 0.148 0.352 0.500
Se1 0.161 0.661 0.000

***

No. 25
# NbIr3Se, optimized geometry, DFT GGA-PBE
# raw formation energy = 164.9 kJ/mol of atoms
data_NbIr3Se
_symmetry_space_group_name_H-M 'P m -3 m'
_symmetry_Int_Tables_number 221
_symmetry_space_group_name_Hall '-P 4 2 3'
_cell_length_a 4.795
_cell_length_b 4.795
_cell_length_c 4.795
_cell_angle_alpha 90.00
_cell_angle_beta 90.00
_cell_angle_gamma 90.00
loop_
_atom_site_label
_atom_site_fract_x
_atom_site_fract_y
_atom_site_fract_z
Nb1 0.000 0.000 0.000
Ir1 0.000 0.000 0.500
Se1 0.500 0.500 0.500